No. 1
PmMnClO2 (PBE with a Hubbard U, optimized geometry); symmetry = No. 11
1.0
6.388 0.000 0.000
0.000 4.126 0.000
-0.804 0.000 7.851
Pm Mn Cl O
2 2 2 4
Direct
0.198 0.250 0.124
0.802 0.750 0.876
0.066 0.250 0.639
0.934 0.750 0.361
0.451 0.250 0.799
0.549 0.750 0.201
0.041 0.750 0.114
0.057 0.250 0.375
0.943 0.750 0.625
0.959 0.250 0.886

***

No. 2
PrMnClO2 (PBE with a Hubbard U, optimized geometry); symmetry = No. 11
1.0
6.480 0.000 0.000
0.000 4.176 0.000
-0.981 0.000 7.879
Pr Mn Cl O
2 2 2 4
Direct
0.202 0.250 0.128
0.798 0.750 0.872
0.062 0.250 0.639
0.938 0.750 0.361
0.447 0.250 0.798
0.553 0.750 0.202
0.041 0.750 0.117
0.057 0.250 0.377
0.943 0.750 0.623
0.959 0.250 0.883

***

No. 3
Rb2MnV2Cl2O6 (PBE with a Hubbard U, optimized geometry); symmetry = No. 8
1.0
2.802 -8.906 0.000
2.802 8.906 0.000
-0.117 0.000 5.315
Rb Mn V Cl O
2 1 2 2 6
Direct
0.127 0.873 0.000
0.873 0.127 0.000
0.470 0.470 0.456
0.295 0.697 0.516
0.697 0.295 0.516
0.450 0.450 0.940
0.920 0.920 0.470
0.016 0.565 0.405
0.293 0.522 0.414
0.300 0.705 0.827
0.522 0.293 0.414
0.565 0.016 0.405
0.705 0.300 0.827

***

No. 4
Rb2MnV2Cl2O6 (PBE with a Hubbard U, optimized geometry); symmetry = No. 45
1.0
-2.768 8.984 5.426
2.768 -8.984 5.426
2.768 8.984 -5.426
Rb Mn V Cl O
4 2 4 4 12
Direct
0.125 0.000 0.125
0.375 0.500 0.876
0.625 0.500 0.124
0.875 0.000 0.875
0.268 0.768 0.500
0.768 0.268 0.500
0.045 0.700 0.255
0.445 0.790 0.745
0.545 0.290 0.345
0.945 0.200 0.655
0.035 0.535 0.500
0.266 0.266 0.000
0.535 0.035 0.500
0.766 0.766 0.000
0.028 0.960 0.387
0.072 0.460 0.932
0.186 0.821 0.409
0.293 0.635 0.743
0.393 0.135 0.342
0.412 0.777 0.591
0.528 0.141 0.068
0.572 0.641 0.613
0.686 0.277 0.365
0.793 0.050 0.658
0.893 0.550 0.257
0.912 0.321 0.635

***

No. 5
MnReCl2O (PBE with a Hubbard U, optimized geometry); symmetry = No. 123
1.0
4.437 0.000 0.000
0.000 4.437 0.000
0.000 0.000 5.625
Mn Re Cl O
1 1 2 1
Direct
0.000 0.000 0.000
0.000 0.000 0.500
0.000 0.500 0.500
0.500 0.000 0.500
0.500 0.500 0.000

***

No. 6
MnReClO4 (PBE with a Hubbard U, optimized geometry); symmetry = No. 12
1.0
4.760 -3.619 0.000
4.760 3.619 0.000
-4.662 0.000 8.202
Mn Re Cl O
2 2 2 8
Direct
0.167 0.167 0.198
0.833 0.833 0.802
0.370 0.370 0.674
0.630 0.630 0.326
0.130 0.130 0.921
0.870 0.870 0.079
0.141 0.535 0.762
0.232 0.232 0.464
0.433 0.433 0.296
0.465 0.859 0.238
0.535 0.141 0.762
0.567 0.567 0.704
0.768 0.768 0.536
0.859 0.465 0.238

***

No. 7
Mn3ReCl2O6 (PBE with a Hubbard U, optimized geometry); symmetry = No. 12
1.0
5.386 -3.064 0.000
5.386 3.064 0.000
-0.777 0.000 5.308
Mn Re Cl O
3 1 2 6
Direct
0.000 0.000 0.000
0.000 0.500 0.500
0.500 0.000 0.500
0.500 0.500 0.500
0.200 0.200 0.829
0.800 0.800 0.171
0.222 0.669 0.706
0.326 0.326 0.333
0.331 0.778 0.294
0.669 0.222 0.706
0.674 0.674 0.667
0.778 0.331 0.294

***

No. 8
MnSCl2O (PBE with a Hubbard U, optimized geometry); symmetry = No. 123
1.0
4.909 0.000 0.000
0.000 4.909 0.000
0.000 0.000 4.856
Mn S Cl O
1 1 2 1
Direct
0.000 0.000 0.000
0.000 0.000 0.500
0.000 0.500 0.000
0.500 0.000 0.000
0.500 0.500 0.500

***

No. 9
MnSCl2O (PBE with a Hubbard U, optimized geometry); symmetry = No. 123
1.0
5.563 0.000 0.000
0.000 5.563 0.000
0.000 0.000 3.352
Mn S Cl O
1 1 2 1
Direct
0.000 0.000 0.000
0.500 0.500 0.000
0.000 0.500 0.500
0.500 0.000 0.500
0.500 0.500 0.500

***

No. 10
Mn3SbCl2O6 (PBE with a Hubbard U, optimized geometry); symmetry = No. 12
1.0
5.274 -3.060 0.000
5.274 3.060 0.000
-1.098 0.000 5.283
Mn Sb Cl O
3 1 2 6
Direct
0.000 0.000 0.000
0.000 0.500 0.500
0.500 0.000 0.500
0.500 0.500 0.500
0.191 0.191 0.827
0.809 0.809 0.173
0.188 0.668 0.700
0.307 0.307 0.332
0.332 0.812 0.300
0.668 0.188 0.700
0.693 0.693 0.668
0.812 0.332 0.300

***

No. 11
YMn3Se2ClO8 (PBE with a Hubbard U, optimized geometry); symmetry = No. 59
1.0
6.570 0.000 0.000
0.000 9.821 0.000
0.000 0.000 7.340
Y Mn Se Cl O
2 6 4 2 16
Direct
0.250 0.250 0.228
0.750 0.750 0.772
0.000 0.000 0.500
0.000 0.500 0.500
0.250 0.250 0.703
0.500 0.000 0.500
0.500 0.500 0.500
0.750 0.750 0.297
0.250 0.562 0.918
0.250 0.938 0.918
0.750 0.062 0.082
0.750 0.438 0.082
0.250 0.750 0.367
0.750 0.250 0.633
0.044 0.591 0.775
0.044 0.909 0.775
0.250 0.116 0.484
0.250 0.116 0.928
0.250 0.384 0.484
0.250 0.384 0.928
0.456 0.591 0.775
0.456 0.909 0.775
0.544 0.091 0.225
0.544 0.409 0.225
0.750 0.616 0.072
0.750 0.616 0.516
0.750 0.884 0.072
0.750 0.884 0.516
0.956 0.091 0.225
0.956 0.409 0.225

***

No. 12
Mn4SiTeCl2O7 (PBE with a Hubbard U, optimized geometry); symmetry = No. 11
1.0
5.544 0.000 0.000
0.000 6.560 0.000
-0.824 0.000 12.841
Mn Si Te Cl O
8 2 2 4 14
Direct
0.012 0.250 0.329
0.148 0.250 0.834
0.357 0.004 0.141
0.357 0.496 0.141
0.643 0.504 0.859
0.643 0.996 0.859
0.852 0.750 0.166
0.988 0.750 0.671
0.156 0.750 0.938
0.844 0.250 0.062
0.291 0.750 0.354
0.709 0.250 0.646
0.137 0.250 0.514
0.433 0.750 0.678
0.567 0.250 0.322
0.863 0.750 0.486
0.102 0.546 0.279
0.102 0.954 0.279
0.125 0.250 0.113
0.161 0.750 0.067
0.292 0.538 0.904
0.292 0.962 0.904
0.488 0.250 0.757
0.512 0.750 0.243
0.708 0.038 0.096
0.708 0.462 0.096
0.839 0.250 0.933
0.875 0.750 0.887
0.898 0.046 0.721
0.898 0.454 0.721

***

Taking the records one at a time from the top gives DFT total energy values of -7.21, -7.19, -6.32, -6.31, -5.01, -7.55, -7.02, -3.70, -3.92, -6.24, -6.78, -6.87 eV/atom.